# 1
An optimized crystal structure of Ag5Au4, computed with PBE.

crystal system: tetragonal
energy above the lowest structure with this stoichiometry: 0.0 meV/atom

Cell lengths 9.048, 9.048, 3.942 Å; angles 90.00, 90.00, 90.00 degrees
Space group I4/mmm (No. 139)
Symmetry-distinct sites (fractional):
Ag 0.000 0.000 0.000
Ag 0.166 0.166 0.500
Au 0.000 0.332 0.000


# 2
An optimized crystal structure of K3Ag8Pb, computed with PBE.

energy: -2.477 eV per atom
crystal system: trigonal

Cell lengths 5.8737, 5.8737, 28.7541 Å; angles 90.00, 90.00, 120.00 degrees
Space group R3m (No. 160, hexagonal axes)
Symmetry-distinct sites (fractional):
K 0.0000 0.0000 0.0000
K 0.0000 0.0000 0.1268
K 0.0000 0.0000 0.5015
Ag 0.0000 0.0000 0.3132
Ag 0.0000 0.0000 0.8138
Ag 0.0028 0.5014 0.5661
Ag 0.1686 0.3372 0.3940
Pb 0.0000 0.0000 0.6238


# 3
An optimized crystal structure of Na3CrBr, computed with PBE.

uncorrected formation energy: 322 meV/atom
crystal system: cubic
energy above the lowest structure with this stoichiometry: 259.6 meV/atom

Cell lengths 5.873, 5.873, 5.873 Å; angles 90.00, 90.00, 90.00 degrees
Space group Pm-3m (No. 221)
Symmetry-distinct sites (fractional):
Na 0.000 0.000 0.500
Cr 0.000 0.000 0.000
Br 0.500 0.500 0.500


# 4
An optimized crystal structure of HoMoAs2, computed with PBE.

crystal system: tetragonal
energy above the lowest structure with this stoichiometry: 0.0 meV/atom

Cell lengths 3.239, 3.239, 6.954 Å; angles 90.00, 90.00, 90.00 degrees
Space group P4/mmm (No. 123)
Symmetry-distinct sites (fractional):
Ho 0.000 0.000 0.000
Mo 0.000 0.000 0.500
As 0.500 0.500 0.288


# 5
An optimized crystal structure of ZrTlRh4, computed with PBE.

energy: -7.027 eV per atom
crystal system: cubic

Cell lengths 7.403, 7.403, 7.403 Å; angles 90.00, 90.00, 90.00 degrees
Space group F-43m (No. 216)
Symmetry-distinct sites (fractional):
Zr 0.000 0.000 0.000
Tl 0.250 0.250 0.250
Rh 0.125 0.125 0.625


# 6
An optimized crystal structure of TaZn2Ag2, computed with PBE.

energy: -3.774 eV per atom
crystal system: tetragonal

Cell lengths 7.634, 7.634, 2.828 Å; angles 90.00, 90.00, 90.00 degrees
Space group P4/mbm (No. 127)
Symmetry-distinct sites (fractional):
Ta 0.000 0.000 0.000
Zn 0.128 0.372 0.000
Ag 0.170 0.670 0.500


# 7
An optimized crystal structure of FeIr2W, computed with PBE.

crystal system: orthorhombic
energy above the lowest structure with this stoichiometry: 205.4 meV/atom

Cell lengths 4.127, 2.748, 10.117 Å; angles 90.00, 90.00, 90.00 degrees
Space group Amm2 (No. 38)
Symmetry-distinct sites (fractional):
Fe 0.000 0.000 0.000
Ir 0.000 0.000 0.256
Ir 0.500 0.000 0.593
W 0.500 0.000 0.863


# 8
An optimized crystal structure of TbPaZnGe, computed with PBE.

energy: -5.246 eV per atom
crystal system: cubic

Cell lengths 7.114, 7.114, 7.114 Å; angles 90.00, 90.00, 90.00 degrees
Space group F-43m (No. 216)
Symmetry-distinct sites (fractional):
Tb 0.000 0.000 0.000
Pa 0.000 0.000 0.500
Zn 0.250 0.250 0.750
Ge 0.250 0.250 0.250